No. 1
VASP calculation (PBE-GGA) on a relaxed Y3AlNi8 crystal.

Summary:
Its density of states at the Fermi level is 9.697 states/eV per cell. Its total energy is -6.2058 eV/atom. Its energy relative to the lowest polymorph listed for this composition is 0.0 kJ per mole of atoms. The spin magnetization is 0.00 μB/cell. For the theoretical density, the calculation gives 7166 kg/m³. As for the calculated volume: 14.7 Å³ per atom. The formation energy comes out at -0.424 eV per atom.

Structure (CIF):
```
data_Y3AlNi8
_symmetry_space_group_name_H-M 'P 1'
_symmetry_Int_Tables_number 1
_cell_length_a 8.6701
_cell_length_b 8.6701
_cell_length_c 8.6701
_cell_angle_alpha 33.50
_cell_angle_beta 33.50
_cell_angle_gamma 33.50
loop_
_symmetry_equiv_pos_as_xyz
'x,y,z'
loop_
_atom_site_label
_atom_site_type_symbol
_atom_site_fract_x
_atom_site_fract_y
_atom_site_fract_z
Y1 Y 0.0000 0.0000 0.0000
Y2 Y 0.1282 0.1282 0.1282
Y3 Y 0.6157 0.6157 0.6157
Al1 Al 0.4923 0.4923 0.4923
Ni1 Ni 0.0586 0.0586 0.5615
Ni2 Ni 0.0586 0.5615 0.0586
Ni3 Ni 0.0663 0.5615 0.5615
Ni4 Ni 0.3116 0.3116 0.3116
Ni5 Ni 0.5615 0.0586 0.0586
Ni6 Ni 0.5615 0.0663 0.5615
Ni7 Ni 0.5615 0.5615 0.0663
Ni8 Ni 0.8119 0.8119 0.8119
```

No. 2
VASP calculation (PBE-GGA) on a relaxed Y11Al9Ni4 crystal.

Summary:
Its density of states at the Fermi level is 15.210 states/eV per cell. Its total energy is -5.8171 eV/atom. The spin magnetization is 0.00 μB/cell. For the theoretical density, the calculation gives 4619 kg/m³. As for the calculated volume: 21.8 Å³ per atom. The formation energy comes out at -0.487 eV per atom.

Structure (CIF):
```
data_Y11Al9Ni4
_symmetry_space_group_name_H-M 'P 1'
_symmetry_Int_Tables_number 1
_cell_length_a 12.6118
_cell_length_b 12.6118
_cell_length_c 3.5670
_cell_angle_alpha 90.00
_cell_angle_beta 90.00
_cell_angle_gamma 112.75
loop_
_symmetry_equiv_pos_as_xyz
'x,y,z'
loop_
_atom_site_label
_atom_site_type_symbol
_atom_site_fract_x
_atom_site_fract_y
_atom_site_fract_z
Y1 Y 0.0000 0.0000 0.0000
Y2 Y 0.0705 0.4126 0.0000
Y3 Y 0.1638 0.8362 0.0000
Y4 Y 0.3102 0.3102 0.0000
Y5 Y 0.3742 0.6258 0.0000
Y6 Y 0.4126 0.0705 0.0000
Y7 Y 0.5874 0.9295 0.0000
Y8 Y 0.6258 0.3742 0.0000
Y9 Y 0.6898 0.6898 0.0000
Y10 Y 0.8362 0.1638 0.0000
Y11 Y 0.9295 0.5874 0.0000
Al1 Al 0.0817 0.2189 0.5000
Al2 Al 0.1670 0.6314 0.5000
Al3 Al 0.2189 0.0817 0.5000
Al4 Al 0.3686 0.8330 0.5000
Al5 Al 0.5000 0.5000 0.5000
Al6 Al 0.6314 0.1670 0.5000
Al7 Al 0.7811 0.9183 0.5000
Al8 Al 0.8330 0.3686 0.5000
Al9 Al 0.9183 0.7811 0.5000
Ni1 Ni 0.2426 0.4471 0.5000
Ni2 Ni 0.4471 0.2426 0.5000
Ni3 Ni 0.5529 0.7574 0.5000
Ni4 Ni 0.7574 0.5529 0.5000
```

No. 3
VASP calculation (PBE-GGA) on a relaxed YAl6Ni3 crystal.

Summary:
Its density of states at the Fermi level is 7.896 states/eV per cell. Its total energy is -5.1052 eV/atom. The spin magnetization is 0.00 μB/cell. For the theoretical density, the calculation gives 4546 kg/m³. As for the calculated volume: 15.6 Å³ per atom. The formation energy comes out at -0.479 eV per atom.

Structure (CIF):
```
data_YAl6Ni3
_symmetry_space_group_name_H-M 'P 1'
_symmetry_Int_Tables_number 1
_cell_length_a 7.4922
_cell_length_b 4.0280
_cell_length_c 10.5028
_cell_angle_alpha 90.00
_cell_angle_beta 100.28
_cell_angle_gamma 90.00
loop_
_symmetry_equiv_pos_as_xyz
'x,y,z'
loop_
_atom_site_label
_atom_site_type_symbol
_atom_site_fract_x
_atom_site_fract_y
_atom_site_fract_z
Y1 Y 0.0520 0.2500 0.2354
Y2 Y 0.9480 0.7500 0.7646
Al1 Al 0.1014 0.2500 0.5714
Al2 Al 0.2504 0.7500 0.0245
Al3 Al 0.3303 0.2500 0.8615
Al4 Al 0.3382 0.7500 0.6865
Al5 Al 0.3880 0.7500 0.2707
Al6 Al 0.3962 0.2500 0.4607
Al7 Al 0.6038 0.7500 0.5393
Al8 Al 0.6120 0.2500 0.7293
Al9 Al 0.6618 0.2500 0.3135
Al10 Al 0.6697 0.7500 0.1385
Al11 Al 0.7496 0.2500 0.9755
Al12 Al 0.8986 0.7500 0.4286
Ni1 Ni 0.0808 0.2500 0.9688
Ni2 Ni 0.2290 0.7500 0.4575
Ni3 Ni 0.4440 0.2500 0.1140
Ni4 Ni 0.5560 0.7500 0.8860
Ni5 Ni 0.7710 0.2500 0.5425
Ni6 Ni 0.9192 0.7500 0.0312
```

No. 4
VASP calculation (PBE-GGA) on a relaxed YAl3Ni3 crystal.

Summary:
Its density of states at the Fermi level is 11.498 states/eV per cell. Its total energy is -5.0366 eV/atom. The spin magnetization is 0.00 μB/cell. For the theoretical density, the calculation gives 4379 kg/m³. As for the calculated volume: 18.7 Å³ per atom. The formation energy comes out at -0.032 eV per atom.

Structure (CIF):
```
data_YAl3Ni3
_symmetry_space_group_name_H-M 'P 1'
_symmetry_Int_Tables_number 1
_cell_length_a 6.4018
_cell_length_b 6.4018
_cell_length_c 6.4018
_cell_angle_alpha 90.00
_cell_angle_beta 90.00
_cell_angle_gamma 90.00
loop_
_symmetry_equiv_pos_as_xyz
'x,y,z'
loop_
_atom_site_label
_atom_site_type_symbol
_atom_site_fract_x
_atom_site_fract_y
_atom_site_fract_z
Y1 Y 0.0000 0.0000 0.0000
Y2 Y 0.5000 0.5000 0.5000
Al1 Al 0.0000 0.2500 0.5000
Al2 Al 0.0000 0.7500 0.5000
Al3 Al 0.2500 0.5000 0.0000
Al4 Al 0.5000 0.0000 0.2500
Al5 Al 0.5000 0.0000 0.7500
Al6 Al 0.7500 0.5000 0.0000
Ni1 Ni 0.0000 0.5000 0.2500
Ni2 Ni 0.0000 0.5000 0.7500
Ni3 Ni 0.2500 0.0000 0.5000
Ni4 Ni 0.5000 0.2500 0.0000
Ni5 Ni 0.5000 0.7500 0.0000
Ni6 Ni 0.7500 0.0000 0.5000
```

No. 5
VASP calculation (PBE-GGA) on a relaxed YAl3Ni2 crystal.

Summary:
Its density of states at the Fermi level is 4.871 states/eV per cell. Its total energy is -5.4939 eV/atom. The spin magnetization is 0.00 μB/cell. For the theoretical density, the calculation gives 4887 kg/m³. As for the calculated volume: 16.3 Å³ per atom. The formation energy comes out at -0.618 eV per atom.

Structure (CIF):
```
data_YAl3Ni2
_symmetry_space_group_name_H-M 'P 1'
_symmetry_Int_Tables_number 1
_cell_length_a 6.2437
_cell_length_b 6.2437
_cell_length_c 5.1229
_cell_angle_alpha 90.00
_cell_angle_beta 90.00
_cell_angle_gamma 77.78
loop_
_symmetry_equiv_pos_as_xyz
'x,y,z'
loop_
_atom_site_label
_atom_site_type_symbol
_atom_site_fract_x
_atom_site_fract_y
_atom_site_fract_z
Y1 Y 0.1554 0.8446 0.7500
Y2 Y 0.8446 0.1554 0.2500
Al1 Al 0.0320 0.5898 0.2500
Al2 Al 0.4102 0.9680 0.2500
Al3 Al 0.4522 0.5478 0.2500
Al4 Al 0.5478 0.4522 0.7500
Al5 Al 0.5898 0.0320 0.7500
Al6 Al 0.9680 0.4102 0.7500
Ni1 Ni 0.2912 0.2912 0.0000
Ni2 Ni 0.2912 0.2912 0.5000
Ni3 Ni 0.7088 0.7088 0.0000
Ni4 Ni 0.7088 0.7088 0.5000
```

No. 6
VASP calculation (PBE-GGA) on a relaxed YAl2Ni9 crystal.

Summary:
Its density of states at the Fermi level is 37.159 states/eV per cell. Its total energy is -5.8643 eV/atom. Its energy relative to the lowest polymorph listed for this composition is 0.0 kJ per mole of atoms. The spin magnetization is 1.20 μB/cell. For the theoretical density, the calculation gives 7285 kg/m³. As for the calculated volume: 12.7 Å³ per atom. The formation energy comes out at -0.366 eV per atom.

Structure (CIF):
```
data_YAl2Ni9
_symmetry_space_group_name_H-M 'P 1'
_symmetry_Int_Tables_number 1
_cell_length_a 8.0535
_cell_length_b 8.0535
_cell_length_c 4.7170
_cell_angle_alpha 90.00
_cell_angle_beta 90.00
_cell_angle_gamma 90.00
loop_
_symmetry_equiv_pos_as_xyz
'x,y,z'
loop_
_atom_site_label
_atom_site_type_symbol
_atom_site_fract_x
_atom_site_fract_y
_atom_site_fract_z
Y1 Y 0.0000 0.0000 0.0000
Y2 Y 0.5000 0.5000 0.0000
Al1 Al 0.1206 0.3794 0.0000
Al2 Al 0.3794 0.8794 0.0000
Al3 Al 0.6206 0.1206 0.0000
Al4 Al 0.8794 0.6206 0.0000
Ni1 Ni 0.0000 0.5000 0.5000
Ni2 Ni 0.0650 0.2098 0.5000
Ni3 Ni 0.1772 0.6772 0.2401
Ni4 Ni 0.1772 0.6772 0.7599
Ni5 Ni 0.2098 0.9350 0.5000
Ni6 Ni 0.2902 0.4350 0.5000
Ni7 Ni 0.3228 0.1772 0.2401
Ni8 Ni 0.3228 0.1772 0.7599
Ni9 Ni 0.4350 0.7098 0.5000
Ni10 Ni 0.5000 0.0000 0.5000
Ni11 Ni 0.5650 0.2902 0.5000
Ni12 Ni 0.6772 0.8228 0.2401
Ni13 Ni 0.6772 0.8228 0.7599
Ni14 Ni 0.7098 0.5650 0.5000
Ni15 Ni 0.7902 0.0650 0.5000
Ni16 Ni 0.8228 0.3228 0.2401
Ni17 Ni 0.8228 0.3228 0.7599
Ni18 Ni 0.9350 0.7902 0.5000
```

No. 7
VASP calculation (PBE-GGA) on a relaxed Y3Al3Ni2 crystal.

Summary:
Its density of states at the Fermi level is 30.604 states/eV per cell. Its total energy is -5.7866 eV/atom. The spin magnetization is 0.00 μB/cell. For the theoretical density, the calculation gives 4774 kg/m³. As for the calculated volume: 20.2 Å³ per atom. The formation energy comes out at -0.514 eV per atom.

Structure (CIF):
```
data_Y3Al3Ni2
_symmetry_space_group_name_H-M 'P 1'
_symmetry_Int_Tables_number 1
_cell_length_a 7.8294
_cell_length_b 14.8742
_cell_length_c 5.5562
_cell_angle_alpha 90.00
_cell_angle_beta 90.00
_cell_angle_gamma 90.00
loop_
_symmetry_equiv_pos_as_xyz
'x,y,z'
loop_
_atom_site_label
_atom_site_type_symbol
_atom_site_fract_x
_atom_site_fract_y
_atom_site_fract_z
Y1 Y 0.0371 0.1101 0.1134
Y2 Y 0.0371 0.3899 0.1134
Y3 Y 0.1809 0.2500 0.6232
Y4 Y 0.3191 0.7500 0.1232
Y5 Y 0.4629 0.6101 0.6134
Y6 Y 0.4629 0.8899 0.6134
Y7 Y 0.5371 0.1101 0.3866
Y8 Y 0.5371 0.3899 0.3866
Y9 Y 0.6809 0.2500 0.8768
Y10 Y 0.8191 0.7500 0.3768
Y11 Y 0.9629 0.6101 0.8866
Y12 Y 0.9629 0.8899 0.8866
Al1 Al 0.1663 0.7500 0.6067
Al2 Al 0.1758 0.0356 0.6087
Al3 Al 0.1758 0.4644 0.6087
Al4 Al 0.3242 0.5356 0.1087
Al5 Al 0.3242 0.9644 0.1087
Al6 Al 0.3337 0.2500 0.1067
Al7 Al 0.6663 0.7500 0.8933
Al8 Al 0.6758 0.0356 0.8913
Al9 Al 0.6758 0.4644 0.8913
Al10 Al 0.8242 0.5356 0.3913
Al11 Al 0.8242 0.9644 0.3913
Al12 Al 0.8337 0.2500 0.3933
Ni1 Ni 0.1105 0.6058 0.3770
Ni2 Ni 0.1105 0.8942 0.3770
Ni3 Ni 0.3895 0.1058 0.8770
Ni4 Ni 0.3895 0.3942 0.8770
Ni5 Ni 0.6105 0.6058 0.1230
Ni6 Ni 0.6105 0.8942 0.1230
Ni7 Ni 0.8895 0.1058 0.6230
Ni8 Ni 0.8895 0.3942 0.6230
```

No. 8
VASP calculation (PBE-GGA) on a relaxed Y2Al3Ni4 crystal.

Summary:
Its density of states at the Fermi level is 12.600 states/eV per cell. Its total energy is -5.8213 eV/atom. The spin magnetization is 0.00 μB/cell. For the theoretical density, the calculation gives 5686 kg/m³. As for the calculated volume: 16.0 Å³ per atom. The formation energy comes out at -0.568 eV per atom.

Structure (CIF):
```
data_Y2Al3Ni4
_symmetry_space_group_name_H-M 'P 1'
_symmetry_Int_Tables_number 1
_cell_length_a 8.0643
_cell_length_b 8.0643
_cell_length_c 6.9672
_cell_angle_alpha 90.00
_cell_angle_beta 90.00
_cell_angle_gamma 140.49
loop_
_symmetry_equiv_pos_as_xyz
'x,y,z'
loop_
_atom_site_label
_atom_site_type_symbol
_atom_site_fract_x
_atom_site_fract_y
_atom_site_fract_z
Y1 Y 0.1049 0.8951 0.9138
Y2 Y 0.3951 0.6049 0.4138
Y3 Y 0.6049 0.3951 0.5862
Y4 Y 0.8951 0.1049 0.0862
Al1 Al 0.0000 0.0000 0.5000
Al2 Al 0.0167 0.4833 0.7500
Al3 Al 0.4833 0.0167 0.2500
Al4 Al 0.5000 0.5000 0.0000
Al5 Al 0.5167 0.9833 0.7500
Al6 Al 0.9833 0.5167 0.2500
Ni1 Ni 0.1720 0.8280 0.5120
Ni2 Ni 0.1795 0.3205 0.7500
Ni3 Ni 0.3205 0.1795 0.2500
Ni4 Ni 0.3280 0.6720 0.0120
Ni5 Ni 0.6720 0.3280 0.9880
Ni6 Ni 0.6795 0.8205 0.7500
Ni7 Ni 0.8205 0.6795 0.2500
Ni8 Ni 0.8280 0.1720 0.4880
```